Below is a geometry-optimized Li6V3P8O29 structure, with properties calculated at the PBE+U level.

Cell lengths 17.086, 9.790, 14.134 Å; angles 90.00, 90.09, 90.00 degrees
Space group Cc (No. 9)
Inequivalent atoms, fractional coordinates:
Li 0.000 0.001 0.000 (multiplicity 4)
Li 0.005 0.433 0.553 (multiplicity 4)
Li 0.061 0.309 0.167 (multiplicity 4)
Li 0.127 0.229 0.679 (multiplicity 4)
Li 0.262 0.415 0.158 (multiplicity 4)
Li 0.282 0.298 0.550 (multiplicity 4)
V 0.174 0.070 0.862 (multiplicity 4)
V 0.390 0.285 0.359 (multiplicity 4)
V 0.455 0.220 0.858 (multiplicity 4)
P 0.007 0.003 0.740 (multiplicity 4)
P 0.011 0.429 0.768 (multiplicity 4)
P 0.058 0.295 0.949 (multiplicity 4)
P 0.125 0.219 0.461 (multiplicity 4)
P 0.212 0.234 0.280 (multiplicity 4)
P 0.288 0.303 0.766 (multiplicity 4)
P 0.329 0.430 0.951 (multiplicity 4)
P 0.343 0.000 0.478 (multiplicity 4)
O 0.004 0.003 0.134 (multiplicity 4)
O 0.005 0.414 0.268 (multiplicity 4)
O 0.010 0.147 0.282 (multiplicity 4)
O 0.044 0.290 0.458 (multiplicity 4)
O 0.051 0.379 0.679 (multiplicity 4)
O 0.053 0.381 0.037 (multiplicity 4)
O 0.065 0.394 0.859 (multiplicity 4)
O 0.080 0.085 0.774 (multiplicity 4)
O 0.112 0.065 0.439 (multiplicity 4)
O 0.132 0.205 0.945 (multiplicity 4)
O 0.167 0.294 0.198 (multiplicity 4)
O 0.169 0.244 0.552 (multiplicity 4)
O 0.176 0.286 0.379 (multiplicity 4)
O 0.210 0.076 0.287 (multiplicity 4)
O 0.216 0.206 0.773 (multiplicity 4)
O 0.268 0.066 0.938 (multiplicity 4)
O 0.280 0.404 0.855 (multiplicity 4)
O 0.283 0.387 0.677 (multiplicity 4)
O 0.286 0.374 0.034 (multiplicity 4)
O 0.296 0.291 0.276 (multiplicity 4)
O 0.340 0.413 0.454 (multiplicity 4)
O 0.343 0.154 0.441 (multiplicity 4)
O 0.357 0.005 0.082 (multiplicity 4)
O 0.365 0.224 0.776 (multiplicity 4)
O 0.413 0.368 0.937 (multiplicity 4)
O 0.415 0.074 0.928 (multiplicity 4)
O 0.431 0.139 0.284 (multiplicity 4)
O 0.432 0.426 0.283 (multiplicity 4)
O 0.486 0.301 0.438 (multiplicity 4)

Size of the total moment   11.6 μB per cell
E above lowest polymorph   0.12 eV per formula unit